1.
## GdIrSe2 (PBE)

Data for a relaxed structure of GdIrSe2.

Summary:
The space group is No. 166. The formation energy from raw total energies comes out at -0.364 eV per atom. The calculation puts the density at 8.1 Mg/m³. The density of states at the Fermi level is 3.81 states/eV/cell. The total energy is -7.841 eV per atom. The total magnetization is 1.79 μB per atom.

```
GdIrSe2
1.0
1.9057 1.1002 8.2422
-1.9057 1.1002 8.2422
0.0000 -2.2005 8.2422
Gd Ir Se
1 1 2
Direct
0.0000 0.0000 0.0000 Gd
0.5000 0.5000 0.5000 Ir
0.1169 0.1169 0.1169 Se
0.8831 0.8831 0.8831 Se
```


2.
## Sb2Mo (PBE)

Data for a relaxed structure of Sb2Mo.

Summary:
The space group is No. 194. The formation energy from raw total energies comes out at 0.624 eV per atom. The calculation puts the density at 8.5 Mg/m³. The density of states at the Fermi level is 4.34 states/eV/cell. The total energy is -5.735 eV per atom. The total magnetization is 0.61 μB per atom.

```
Sb2Mo
1.0
5.0574 0.0000 0.0000
-2.5287 4.3798 0.0000
0.0000 0.0000 5.9974
Sb Mo
4 2
Direct
0.0000 0.0000 0.0000 Sb
0.0000 0.0000 0.5000 Sb
0.3333 0.6667 0.2500 Sb
0.6667 0.3333 0.7500 Sb
0.3333 0.6667 0.7500 Mo
0.6667 0.3333 0.2500 Mo
```


3.
## CdAg3Au4 (PBE)

Data for a relaxed structure of CdAg3Au4.

Summary:
The space group is No. 139. The calculation puts the density at 13.9 Mg/m³. The density of states at the Fermi level is 2.19 states/eV/cell. The total energy is -2.903 eV per atom. As for the formation energy from the elements: -81 meV/atom. The total magnetization is 0.00 μB per atom.

```
CdAg3Au4
1.0
-2.0874 2.0874 8.3706
2.0874 -2.0874 8.3706
2.0874 2.0874 -8.3706
Cd Ag Au
1 3 4
Direct
0.0000 0.0000 0.0000 Cd
0.2510 0.2510 0.0000 Ag
0.5000 0.5000 0.0000 Ag
0.7490 0.7490 0.0000 Ag
0.1259 0.6259 0.5000 Au
0.3741 0.8741 0.5000 Au
0.6259 0.1259 0.5000 Au
0.8741 0.3741 0.5000 Au
```


4.
## MgTiHg2 (PBE)

Data for a relaxed structure of MgTiHg2.

Summary:
The space group is No. 123. The calculation puts the density at 9.9 Mg/m³. The density of states at the Fermi level is 2.26 states/eV/cell. The total energy is -2.613 eV per atom. As for the formation energy from the elements: -90 meV/atom. The total magnetization is 0.22 μB per atom.

```
MgTiHg2
1.0
4.8736 0.0000 0.0000
0.0000 4.8736 0.0000
0.0000 0.0000 3.3318
Mg Ti Hg
1 1 2
Direct
0.0000 0.0000 0.0000 Mg
0.5000 0.5000 0.0000 Ti
0.0000 0.5000 0.5000 Hg
0.5000 0.0000 0.5000 Hg
```


5.
## HOsSe2N (PBE)

Data for a relaxed structure of HOsSe2N.

Summary:
The space group is No. 123. The energy above the most stable polymorph in this dataset is 386.7 meV per atom. The calculation puts the density at 9.8 Mg/m³. The density of states at the Fermi level is 3.59 states/eV/cell. The total energy is -4.637 eV per atom. The total magnetization is 0.09 μB per atom.

```
HOsSe2N
1.0
4.7159 0.0000 0.0000
0.0000 4.7159 0.0000
0.0000 0.0000 2.7663
H Os Se N
1 1 2 1
Direct
0.0000 0.0000 0.0000 H
0.5000 0.5000 0.5000 Os
0.0000 0.5000 0.0000 Se
0.5000 0.0000 0.0000 Se
0.0000 0.0000 0.5000 N
```


6.
## AcYPd2 (PBE)

Data for a relaxed structure of AcYPd2.

Summary:
The space group is No. 225. The energy above the most stable polymorph in this dataset is 98.3 meV per atom. The calculation puts the density at 8.8 Mg/m³. The density of states at the Fermi level is 3.46 states/eV/cell. The total energy is -5.965 eV per atom. As for the formation energy from the elements: -725 meV/atom. The total magnetization is 0.00 μB per atom.

```
AcYPd2
1.0
0.0000 3.6758 3.6758
3.6758 0.0000 3.6758
3.6758 3.6758 0.0000
Ac Y Pd
1 1 2
Direct
0.0000 0.0000 0.0000 Ac
0.5000 0.5000 0.5000 Y
0.2500 0.2500 0.2500 Pd
0.7500 0.7500 0.7500 Pd
```


7.
## InH6N2Cl (PBE)

Data for a relaxed structure of InH6N2Cl.

Summary:
The space group is No. 15. The calculation puts the density at 2.3 Mg/m³. The density of states at the Fermi level is 0.00 states/eV/cell. The total energy is -4.580 eV per atom. The total magnetization is 0.00 μB per atom.

```
InH6N2Cl
1.0
3.1420 -8.1100 0.0000
3.1420 8.1100 0.0000
-2.2323 0.0000 5.1641
In H N Cl
2 12 4 2
Direct
0.1913 0.8087 0.7500 In
0.8087 0.1913 0.2500 In
0.1493 0.3553 0.7750 H
0.1539 0.1870 0.6094 H
0.1870 0.1539 0.1094 H
0.2627 0.4228 0.5445 H
0.3553 0.1493 0.2750 H
0.4228 0.2627 0.0445 H
0.5772 0.7373 0.9555 H
0.6447 0.8507 0.7250 H
0.7373 0.5772 0.4555 H
0.8130 0.8461 0.8906 H
0.8461 0.8130 0.3906 H
0.8507 0.6447 0.2250 H
0.1233 0.2790 0.5928 N
0.2790 0.1233 0.0928 N
0.7210 0.8767 0.9072 N
0.8767 0.7210 0.4072 N
0.3644 0.6356 0.2500 Cl
0.6356 0.3644 0.7500 Cl
```


8.
## KRe3C (PBE)

Data for a relaxed structure of KRe3C.

Summary:
The space group is No. 221. The energy above the most stable polymorph in this dataset is 0.0 meV per atom. The calculation puts the density at 13.2 Mg/m³. The density of states at the Fermi level is 5.21 states/eV/cell. The total energy is -8.144 eV per atom. As for the formation energy from the elements: 1389 meV/atom. The total magnetization is 0.00 μB per atom.

```
KRe3C
1.0
4.2497 0.0000 0.0000
0.0000 4.2497 0.0000
0.0000 0.0000 4.2497
K Re C
1 3 1
Direct
0.0000 0.0000 0.0000 K
0.0000 0.5000 0.5000 Re
0.5000 0.0000 0.5000 Re
0.5000 0.5000 0.0000 Re
0.5000 0.5000 0.5000 C
```


9.
## SrCdInRh (PBE)

Data for a relaxed structure of SrCdInRh.

Summary:
The space group is No. 160. The calculation puts the density at 6.6 Mg/m³. The density of states at the Fermi level is 3.13 states/eV/cell. The total energy is -3.505 eV per atom. As for the formation energy from the elements: -333 meV/atom. The total magnetization is 0.00 μB per atom.

```
SrCdInRh
1.0
2.3669 1.3665 5.4344
-2.3669 1.3665 5.4344
0.0000 -2.7330 5.4344
Sr Cd In Rh
1 1 1 1
Direct
0.0000 0.0000 0.0000 Sr
0.7972 0.7972 0.7972 Cd
0.5339 0.5339 0.5339 In
0.1903 0.1903 0.1903 Rh
```


10.
## TbCeNdGd (PBE)

Data for a relaxed structure of TbCeNdGd.

Summary:
The space group is No. 216. The calculation puts the density at 7.5 Mg/m³. The density of states at the Fermi level is 10.14 states/eV/cell. The total energy is -7.176 eV per atom. As for the formation energy from the elements: 177 meV/atom. The total magnetization is 2.59 μB per atom.

```
TbCeNdGd
1.0
0.0000 4.0502 4.0502
4.0502 0.0000 4.0502
4.0502 4.0502 0.0000
Tb Ce Nd Gd
1 1 1 1
Direct
0.0000 0.0000 0.0000 Tb
0.5000 0.5000 0.5000 Ce
0.2500 0.2500 0.2500 Nd
0.7500 0.7500 0.7500 Gd
```


11.
## Ba3Ac2CeTe6 (PBE)

Data for a relaxed structure of Ba3Ac2CeTe6.

Summary:
The space group is No. 12. The formation energy from raw total energies comes out at -1.597 eV per atom. The calculation puts the density at 6.2 Mg/m³. The density of states at the Fermi level is 12.24 states/eV/cell. The total energy is -4.827 eV per atom. The total magnetization is 0.12 μB per atom.

```
Ba3Ac2CeTe6
1.0
4.1490 -7.1772 0.0000
4.1490 7.1772 0.0000
-2.7631 0.0000 7.9826
Ba Ac Ce Te
3 2 1 6
Direct
0.0000 0.0000 0.0000 Ba
0.3307 0.6693 0.0000 Ba
0.6693 0.3307 0.0000 Ba
0.1661 0.8339 0.5000 Ac
0.8339 0.1661 0.5000 Ac
0.5000 0.5000 0.5000 Ce
0.0968 0.4228 0.2677 Te
0.2526 0.2526 0.7344 Te
0.4228 0.0968 0.2677 Te
0.5772 0.9032 0.7323 Te
0.7474 0.7474 0.2656 Te
0.9032 0.5772 0.7323 Te
```


12.
## La2In2Ag (PBE)

Data for a relaxed structure of La2In2Ag.

Summary:
The space group is No. 12. The energy above the most stable polymorph in this dataset is 0.0 meV per atom. The calculation puts the density at 7.0 Mg/m³. The density of states at the Fermi level is 9.45 states/eV/cell. The total energy is -4.079 eV per atom. As for the formation energy from the elements: -442 meV/atom. The total magnetization is 0.00 μB per atom.

```
La2In2Ag
1.0
5.7251 -2.4500 0.0000
5.7251 2.4500 0.0000
-5.3256 0.0000 10.4158
La In Ag
4 4 2
Direct
0.0193 0.0193 0.3339 La
0.1795 0.1795 0.1071 La
0.8205 0.8205 0.8929 La
0.9807 0.9807 0.6661 La
0.3572 0.3572 0.4342 In
0.4730 0.4730 0.1157 In
0.5270 0.5270 0.8843 In
0.6428 0.6428 0.5658 In
0.2766 0.2766 0.6551 Ag
0.7234 0.7234 0.3449 Ag
```


> What is the density of states at the Fermi level in the ninth record?

3.13 states/eV/cell


> density of number 12 (La2In2Ag)?

7.0 Mg/m³


What did the ninth record say?
## SrCdInRh (PBE)

Data for a relaxed structure of SrCdInRh.

Summary:
The space group is No. 160. The calculation puts the density at 6.6 Mg/m³. The density of states at the Fermi level is 3.13 states/eV/cell. The total energy is -3.505 eV per atom. As for the formation energy from the elements: -333 meV/atom. The total magnetization is 0.00 μB per atom.

```
SrCdInRh
1.0
2.3669 1.3665 5.4344
-2.3669 1.3665 5.4344
0.0000 -2.7330 5.4344
Sr Cd In Rh
1 1 1 1
Direct
0.0000 0.0000 0.0000 Sr
0.7972 0.7972 0.7972 Cd
0.5339 0.5339 0.5339 In
0.1903 0.1903 0.1903 Rh
```


What did the first record say?
## GdIrSe2 (PBE)

Data for a relaxed structure of GdIrSe2.

Summary:
The space group is No. 166. The formation energy from raw total energies comes out at -0.364 eV per atom. The calculation puts the density at 8.1 Mg/m³. The density of states at the Fermi level is 3.81 states/eV/cell. The total energy is -7.841 eV per atom. The total magnetization is 1.79 μB per atom.

```
GdIrSe2
1.0
1.9057 1.1002 8.2422
-1.9057 1.1002 8.2422
0.0000 -2.2005 8.2422
Gd Ir Se
1 1 2
Direct
0.0000 0.0000 0.0000 Gd
0.5000 0.5000 0.5000 Ir
0.1169 0.1169 0.1169 Se
0.8831 0.8831 0.8831 Se
```